LaTePb3: optimized geometry, PBE.

Cell lengths 5.8885, 5.8885, 5.8885 Å; angles 90.00, 90.00, 90.00 degrees
Element x y z (fractional)
La (0.0000, 0.0000, 0.0000)
Te (0.5000, 0.5000, 0.5000)
Pb (0.0000, 0.5000, 0.5000)
Pb (0.5000, 0.0000, 0.5000)
Pb (0.5000, 0.5000, 0.0000)

ΔE to the lowest computed polymorph (meV per atom): 0



Pm2TiNi4Ge3: optimized geometry, PBE.

Cell lengths 4.1379, 4.1379, 9.8117 Å; angles 90.00, 90.00, 90.00 degrees
Element x y z (fractional)
Pm (0.0000, 0.5000, 0.2403)
Pm (0.5000, 0.0000, 0.7597)
Ti (0.0000, 0.0000, 0.5000)
Ni (0.0000, 0.0000, 0.0000)
Ni (0.0000, 0.5000, 0.6340)
Ni (0.5000, 0.0000, 0.3660)
Ni (0.5000, 0.5000, 0.0000)
Ge (0.0000, 0.5000, 0.8742)
Ge (0.5000, 0.0000, 0.1258)
Ge (0.5000, 0.5000, 0.5000)

Formation energy (meV/atom): -655.8